Record 1
The following is a meta-GGA SCAN calculation of MnCd2Pb at its PBEsol-relaxed geometry, from Alexandria.

energy = -38.59 eV/atom
energy relative to the elements = 0.1268 eV/atom
Fermi-level density of states = 0.501 states/eV/atom
volume = 21.15 A^3/atom

a b c (Å): 9.7237 9.7237 9.7237
angles (deg): 18.94 18.94 18.94
Last column: nearest neighbours and their distance in Å.
Fractional positions:
Mn (0.0000, 0.0000, 0.0000)  3 Cd 2.81, 3 Pb 2.93
Cd (0.4913, 0.4913, 0.4913)  9 Cd 3.04-3.20, 3 Pb 3.31
Cd (0.7404, 0.7404, 0.7404)  3 Mn 2.81, 3 Cd 3.04
Pb (0.2539, 0.2539, 0.2539)  3 Mn 2.93, 6 Pb 3.20


Record 2
The following is a meta-GGA SCAN calculation of Li2VP2O7 at its PBEsol-relaxed geometry, from Alexandria.

energy = -9.77 eV/atom
ΔE_f (raw) = -2.54 eV per atom
Fermi-level density of states = 0.000 states/eV/atom
volume = 11.48 A^3/atom
offset from the most stable computed form = 0.0000 eV per atom

a b c (Å): 5.0008 8.2960 7.0351
angles (deg): 90.00 109.20 90.00
Last column: nearest neighbours and their distance in Å.
Fractional positions:
Li (0.1677, 0.0000, 0.1490)  4 O 1.92-2.12
Li (0.2811, 0.3181, 0.5978)  4 O 1.92-2.15
Li (0.7189, 0.8181, 0.4022)  4 O 1.92-2.15
Li (0.8323, 0.5000, 0.8510)  4 O 1.92-2.12
V (0.2082, 0.6501, 0.2214)  6 O 2.05-2.15
V (0.7918, 0.1501, 0.7786)  6 O 2.05-2.15
P (0.2060, 0.9415, 0.5861)  4 O 1.52-1.61
P (0.3921, 0.3320, 0.0219)  4 O 1.52-1.61
P (0.6079, 0.8320, 0.9781)  4 O 1.52-1.61
P (0.7940, 0.4415, 0.4139)  4 O 1.52-1.61
O (0.0742, 0.4687, 0.3763)  1 P 1.53
O (0.1382, 0.8502, 0.3860)  1 P 1.54
O (0.2028, 0.1838, 0.9922)  1 P 1.52
O (0.2308, 0.4897, 0.0050)  1 P 1.52
O (0.3769, 0.0943, 0.5893)  1 P 1.52
O (0.3939, 0.8153, 0.7506)  2 P 1.61
O (0.4323, 0.8349, 0.1218)  1 P 1.54
O (0.5677, 0.3349, 0.8782)  1 P 1.54
O (0.6061, 0.3153, 0.2494)  2 P 1.61
O (0.6231, 0.5943, 0.4107)  1 P 1.52
O (0.7692, 0.9897, 0.9950)  1 P 1.52
O (0.7972, 0.6838, 0.0078)  1 P 1.52
O (0.8618, 0.3502, 0.6140)  1 P 1.54
O (0.9258, 0.9687, 0.6237)  1 P 1.53


Record 3
The following is a meta-GGA SCAN calculation of CuAg2Pt at its PBEsol-relaxed geometry, from Alexandria.

energy = -36.96 eV/atom
energy relative to the elements = 0.0733 eV/atom
Fermi-level density of states = 0.265 states/eV/atom
volume = 15.01 A^3/atom
offset from the most stable computed form = 0.1011 eV per atom

a b c (Å): 2.7067 2.7067 9.2111
angles (deg): 90.00 90.00 117.18
Last column: nearest neighbours and their distance in Å.
Fractional positions:
Cu (0.0000, 0.0000, 0.0000)  4 Ag 2.61, 6 Cu 2.71-2.82
Ag (0.5000, 0.5000, 0.2383)  2 Cu 2.61, 6 Ag 2.71-2.82, 2 Pt 2.79
Ag (0.5000, 0.5000, 0.7617)  2 Cu 2.61, 6 Ag 2.71-2.82, 2 Pt 2.79
Pt (0.0000, 0.0000, 0.5000)  6 Pt 2.71-2.82, 4 Ag 2.79


Record 4
The following is a meta-GGA SCAN calculation of InRe2Bi at its PBEsol-relaxed geometry, from Alexandria.

energy = -62.38 eV/atom
energy relative to the elements = 1.1597 eV/atom
Fermi-level density of states = 1.112 states/eV/atom
volume = 17.83 A^3/atom

a b c (Å): 4.6547 4.6547 4.6547
angles (deg): 60.00 60.00 60.00
Last column: nearest neighbours and their distance in Å.
Fractional positions:
In (0.0000, 0.0000, 0.0000)  8 Re 2.85
Re (0.2500, 0.2500, 0.2500)  4 Bi 2.85, 4 In 2.85
Re (0.7500, 0.7500, 0.7500)  4 Bi 2.85, 4 In 2.85
Bi (0.5000, 0.5000, 0.5000)  8 Re 2.85


Record 5
The following is a meta-GGA SCAN calculation of LaInRh2 at its PBEsol-relaxed geometry, from Alexandria.

energy = -36.65 eV/atom
energy relative to the elements = -0.6368 eV/atom
Fermi-level density of states = 0.459 states/eV/atom
volume = 19.69 A^3/atom

a b c (Å): 4.0779 5.4454 5.4454
angles (deg): 40.63 90.00 90.00
Last column: nearest neighbours and their distance in Å.
Fractional positions:
La (0.0000, 0.0000, 0.0000)  5 Rh 2.69-2.87
In (0.5000, 0.7120, 0.7120)  7 Rh 2.83-2.93
Rh (0.0000, 0.2630, 0.2630)  2 Rh 2.67, 1 La 2.69, 4 In 2.83
Rh (0.5000, 0.4314, 0.4314)  2 Rh 2.67, 3 In 2.87-2.93, 4 La 2.87


Record 6
The following is a meta-GGA SCAN calculation of Sr2Ag2Sb at its PBEsol-relaxed geometry, from Alexandria.

energy = -29.37 eV/atom
ΔE_f (raw) = -0.46 eV per atom
Fermi-level density of states = 0.487 states/eV/atom
volume = 28.24 A^3/atom

a b c (Å): 9.4750 9.4750 9.4750
angles (deg): 155.94 155.94 34.28
Last column: nearest neighbours and their distance in Å.
Fractional positions:
Sr (0.1044, 0.1044, 0.0000)  4 Ag 3.29, 4 Sb 3.37
Sr (0.8956, 0.8956, 0.0000)  4 Ag 3.29, 4 Sb 3.37
Ag (0.2500, 0.7500, 0.5000)  4 Ag 2.79
Ag (0.7500, 0.2500, 0.5000)  4 Ag 2.79
Sb (0.5000, 0.5000, 0.0000)  8 Sr 3.37


Record 7
The following is a meta-GGA SCAN calculation of Rb2LaCl5 at its PBEsol-relaxed geometry, from Alexandria.

energy = -18.05 eV/atom
ΔE_f (raw) = -2.50 eV per atom
Fermi-level density of states = 0.000 states/eV/atom
volume = 29.84 A^3/atom

a b c (Å): 13.0962 8.9174 8.1766
angles (deg): 90.00 90.00 90.00
Last column: nearest neighbours and their distance in Å.
Fractional positions:
Rb (0.1716, 0.0046, 0.0505)  8 Cl 3.25-3.44
Rb (0.1716, 0.4954, 0.0505)  8 Cl 3.25-3.44
Rb (0.3284, 0.5046, 0.5505)  8 Cl 3.25-3.44
Rb (0.3284, 0.9954, 0.5505)  8 Cl 3.25-3.44
Rb (0.6716, 0.0046, 0.4495)  8 Cl 3.25-3.44
Rb (0.6716, 0.4954, 0.4495)  8 Cl 3.25-3.44
Rb (0.8284, 0.5046, 0.9495)  8 Cl 3.25-3.44
Rb (0.8284, 0.9954, 0.9495)  8 Cl 3.25-3.44
La (0.0054, 0.2500, 0.5715)  7 Cl 2.78-2.87
La (0.4946, 0.7500, 0.0715)  7 Cl 2.78-2.87
La (0.5054, 0.2500, 0.9285)  7 Cl 2.78-2.87
La (0.9946, 0.7500, 0.4285)  7 Cl 2.78-2.87
Cl (0.0094, 0.2500, 0.9140)  1 La 2.80
Cl (0.0773, 0.5417, 0.6616)  2 La 2.86-2.87
Cl (0.0773, 0.9583, 0.6616)  2 La 2.86-2.87
Cl (0.1775, 0.2500, 0.3724)  1 La 2.78
Cl (0.2011, 0.7500, 0.3381)  1 La 2.80
Cl (0.2989, 0.2500, 0.8381)  1 La 2.80
Cl (0.3225, 0.7500, 0.8724)  1 La 2.78
Cl (0.4227, 0.0417, 0.1616)  2 La 2.86-2.87
Cl (0.4227, 0.4583, 0.1616)  2 La 2.86-2.87
Cl (0.4906, 0.7500, 0.4140)  1 La 2.80
Cl (0.5094, 0.2500, 0.5860)  1 La 2.80
Cl (0.5773, 0.5417, 0.8384)  2 La 2.86-2.87
Cl (0.5773, 0.9583, 0.8384)  2 La 2.86-2.87
Cl (0.6775, 0.2500, 0.1276)  1 La 2.78
Cl (0.7011, 0.7500, 0.1619)  1 La 2.80
Cl (0.7989, 0.2500, 0.6619)  1 La 2.80
Cl (0.8225, 0.7500, 0.6276)  1 La 2.78
Cl (0.9227, 0.0417, 0.3384)  2 La 2.86-2.87
Cl (0.9227, 0.4583, 0.3384)  2 La 2.86-2.87
Cl (0.9906, 0.7500, 0.0860)  1 La 2.80


Record 8
The following is a meta-GGA SCAN calculation of HgSbMoI2 at its PBEsol-relaxed geometry, from Alexandria.

energy = -41.87 eV/atom
ΔE_f (raw) = 0.89 eV per atom
Fermi-level density of states = 0.501 states/eV/atom
volume = 39.31 A^3/atom
offset from the most stable computed form = 0.0000 eV per atom

a b c (Å): 6.0089 6.0089 5.4431
angles (deg): 90.00 90.00 90.00
Last column: nearest neighbours and their distance in Å.
Fractional positions:
Hg (0.0000, 0.0000, 0.0000)  2 Sb 2.72
Sb (0.0000, 0.0000, 0.5000)  2 Hg 2.72, 4 I 3.00
Mo (0.5000, 0.5000, 0.0000)  8 I 4.05, 4 Hg 4.25
I (0.0000, 0.5000, 0.5000)  2 Sb 3.00
I (0.5000, 0.0000, 0.5000)  2 Sb 3.00